! PBE+U YPaMoO6, optimized geometry; values from VASP
! DFT total energy (eV per atom): -8.778
! Space-group type: P-31c, No. 163
&SYSTEM
  ibrav = 0, nat = 18, ntyp = 4
/
ATOMIC_SPECIES
Y 88.91 Y.upf
Pa 231.04 Pa.upf
Mo 95.94 Mo.upf
O 16.00 O.upf
CELL_PARAMETERS angstrom
5.583 0.000 0.000
-2.791 4.835 0.000
0.000 0.000 9.657
ATOMIC_POSITIONS crystal
Y 0.000 0.000 0.000
Y 0.000 0.000 0.500
Pa 0.333 0.667 0.250
Pa 0.667 0.333 0.750
Mo 0.333 0.667 0.750
Mo 0.667 0.333 0.250
O 0.016 0.353 0.635
O 0.016 0.662 0.865
O 0.338 0.353 0.865
O 0.338 0.984 0.635
O 0.353 0.016 0.135
O 0.353 0.338 0.365
O 0.647 0.662 0.635
O 0.647 0.984 0.865
O 0.662 0.016 0.365
O 0.662 0.647 0.135
O 0.984 0.338 0.135
O 0.984 0.647 0.365